Entry from the Alexandria database: an optimized crystal structure of K3Pr3PdO8 (PBE-GGA).

a b c (Å): 7.1065 7.1065 18.9004
angles (deg): 90.00 90.00 120.00
Last column: nearest neighbours and their distance in Å.
Space group R-3m (No. 166, hexagonal axes)
Unique sites:
K 0.0000 0.5000 0.0000 (multiplicity 9)  6 O 2.82
Pr 0.0000 0.5000 0.5000 (multiplicity 9)  6 O 2.38-2.44
Pd 0.0000 0.0000 0.5000 (multiplicity 3)  6 O 2.14
O 0.0000 0.0000 0.2306 (multiplicity 6)  3 Pr 2.38
O 0.0360 0.5180 0.2259 (multiplicity 18)  1 Pd 2.14

Formation energy from raw total energies: -31.68 eV per formula unit
Volume: 826.6 Å³ per cell